Computed, not measured: a relaxed structure of CeSmSbP at the PBE level of DFT.

abc: 4.254 4.254 7.512
angles: 73.55 73.55 60.00
Site moments in Bohr magnetons follow the coordinates.
Fractional positions:
1 Ce 0.258 0.258 0.225  0.58
2 Sm 0.742 0.742 0.775  0.01
3 Sb 0.501 0.501 0.498  -0.02
4 P 0.999 0.999 0.002  -0.02

- formation energy without anion corrections (eV per atom) = -1.30
- D(E_F) (states/eV/atom) = 1.359
- magnetization (μB/cell) = 0.639